Record 1
## CrH3S (PBE)

Data for CrH3S after structural relaxation.

Computed properties:
The calculation puts the density of states at the Fermi level at 0.761 states/eV/atom. Its total magnetic moment is 0.0 μB/f.u. Its symmetry is Pm-3m, No. 221. As for the calculated volume: 36.6 Å³ per cell. For the relative energy among the computed polymorphs, the calculation gives 3.16 eV/f.u.

abc: 3.319 3.319 3.319
angles: 90.00 90.00 90.00
Sites, in units of the cell vectors:
H 0.000 0.500 0.000
Cr 0.500 0.500 0.500
S 0.000 0.000 0.000
H 0.000 0.000 0.500
H 0.500 0.000 0.000

Record 2
## Cr2HS (PBE)

Data for Cr2HS after structural relaxation.

Computed properties:
The calculation puts the density of states at the Fermi level at 0.831 states/eV/atom. Its total magnetic moment is 1.1 μB/f.u. Its symmetry is I-42d, No. 122. As for the calculated volume: 89.8 Å³ per cell. For the relative energy among the computed polymorphs, the calculation gives 0.00 eV/f.u.

abc: 4.315 4.315 5.709
angles: 67.79 67.79 90.00
Sites, in units of the cell vectors:
Cr 0.233 0.625 0.250
H 0.500 0.500 0.000
H 0.250 0.750 0.500
Cr 0.875 0.767 0.750
S 0.000 0.000 0.000
Cr 0.375 0.483 0.750
Cr 0.517 0.125 0.250
S 0.750 0.250 0.500

Record 3
## Cr3HS (PBE)

Data for Cr3HS after structural relaxation.

Computed properties:
The calculation puts the density of states at the Fermi level at 0.934 states/eV/atom. Its total magnetic moment is 4.9 μB/f.u. Its symmetry is Pm-3m, No. 221. As for the calculated volume: 49.9 Å³ per cell. For the relative energy among the computed polymorphs, the calculation gives 0.00 eV/f.u.

abc: 3.682 3.682 3.682
angles: 90.00 90.00 90.00
Sites, in units of the cell vectors:
S 0.500 0.500 0.500
H 0.000 0.000 0.000
Cr 0.000 0.000 0.500
Cr 0.500 0.000 0.000
Cr 0.000 0.500 0.000

Record 4
## Cr2HS (PBE)

Data for Cr2HS after structural relaxation.

Computed properties:
The calculation puts the density of states at the Fermi level at 0.575 states/eV/atom. Its total magnetic moment is 4.5 μB/f.u. Its symmetry is Fm-3m, No. 225. As for the calculated volume: 41.4 Å³ per cell. For the relative energy among the computed polymorphs, the calculation gives 0.27 eV/f.u.

abc: 3.882 3.882 3.882
angles: 60.00 60.00 60.00
Sites, in units of the cell vectors:
Cr 0.250 0.250 0.250
Cr 0.750 0.750 0.750
S 0.500 0.500 0.500
H 0.000 0.000 0.000

Record 5
## Cr2HS2 (PBE)

Data for Cr2HS2 after structural relaxation.

Computed properties:
The calculation puts the density of states at the Fermi level at 0.365 states/eV/atom. Its total magnetic moment is 5.3 μB/f.u. Its symmetry is I4/mmm, No. 139. As for the calculated volume: 87.7 Å³ per cell. For the relative energy among the computed polymorphs, the calculation gives 0.00 eV/f.u.

abc: 3.864 3.864 6.482
angles: 72.66 72.66 90.00
Sites, in units of the cell vectors:
H 0.000 0.000 0.000
Cr 0.250 0.750 0.500
S 0.648 0.648 0.705
Cr 0.750 0.250 0.500
S 0.352 0.352 0.295

Record 6
## SrCrHS2 (PBE)

Data for SrCrHS2 after structural relaxation.

Computed properties:
The calculation puts the density of states at the Fermi level at 0.561 states/eV/atom. Its total magnetic moment is 3.0 μB/f.u. Its symmetry is P4/mmm, No. 123. As for the calculated volume: 87.3 Å³ per cell. The calculation puts the final energy at -5.5198 eV/atom.

abc: 4.798 4.798 3.791
angles: 90.00 90.00 90.00
Sites, in units of the cell vectors:
Sr 0.500 0.500 0.500
H 0.000 0.000 0.500
Cr 0.000 0.000 0.000
S 0.500 0.000 0.000
S 0.000 0.500 0.000

Record 7
## Cr2SbH (PBE)

Data for Cr2SbH after structural relaxation.

Computed properties:
The calculation puts the density of states at the Fermi level at 0.898 states/eV/atom. Its total magnetic moment is 5.9 μB/f.u. Its symmetry is Fm-3m, No. 225. As for the calculated volume: 58.7 Å³ per cell. For the relative energy among the computed polymorphs, the calculation gives 1.32 eV/f.u.

abc: 4.362 4.362 4.362
angles: 60.00 60.00 60.00
Sites, in units of the cell vectors:
Cr 0.750 0.750 0.750
H 0.000 0.000 0.000
Sb 0.500 0.500 0.500
Cr 0.250 0.250 0.250

Record 8
## Cr2SbH2 (PBE)

Data for Cr2SbH2 after structural relaxation.

Computed properties:
The calculation puts the density of states at the Fermi level at 0.807 states/eV/atom. Its total magnetic moment is 0.0 μB/f.u. Its symmetry is I4/mmm, No. 139. As for the calculated volume: 49.7 Å³ per cell. The calculation puts the final energy at -5.8043 eV/atom.

abc: 3.092 3.092 5.644
angles: 74.10 74.10 90.00
Sites, in units of the cell vectors:
Cr 0.338 0.338 0.325
H 0.250 0.750 0.500
Sb 0.000 0.000 0.000
H 0.750 0.250 0.500
Cr 0.662 0.662 0.675

Record 9
## CrSbH3 (PBE)

Data for CrSbH3 after structural relaxation.

Computed properties:
The calculation puts the density of states at the Fermi level at 0.332 states/eV/atom. Its total magnetic moment is 5.1 μB/f.u. Its symmetry is Pm-3m, No. 221. As for the calculated volume: 67.5 Å³ per cell. For the relative energy among the computed polymorphs, the calculation gives 2.75 eV/f.u.

abc: 4.071 4.071 4.071
angles: 90.00 90.00 90.00
Sites, in units of the cell vectors:
H 0.000 0.500 0.000
Sb 0.000 0.000 0.000
Cr 0.500 0.500 0.500
H 0.000 0.000 0.500
H 0.500 0.000 0.000

Record 10
## Cr2SbH (PBE)

Data for Cr2SbH after structural relaxation.

Computed properties:
The calculation puts the density of states at the Fermi level at 0.861 states/eV/atom. Its total magnetic moment is 0.0 μB/f.u. Its symmetry is I4_1/amd, No. 141. As for the calculated volume: 104.3 Å³ per cell. For the relative energy among the computed polymorphs, the calculation gives 0.00 eV/f.u.

abc: 4.535 4.535 5.999
angles: 67.79 67.79 90.00
Sites, in units of the cell vectors:
Sb 0.750 0.250 0.500
Sb 0.000 0.000 0.000
Cr 0.375 0.625 0.750
H 0.250 0.750 0.500
Cr 0.375 0.125 0.250
Cr 0.875 0.625 0.750
Cr 0.375 0.625 0.250
H 0.500 0.500 0.000

Record 11
## CrSb3H (PBE)

Data for CrSb3H after structural relaxation.

Computed properties:
The calculation puts the density of states at the Fermi level at 0.548 states/eV/atom. Its total magnetic moment is 4.0 μB/f.u. Its symmetry is Pm-3m, No. 221. As for the calculated volume: 102.7 Å³ per cell. For the relative energy among the computed polymorphs, the calculation gives 0.00 eV/f.u.

abc: 4.684 4.684 4.684
angles: 90.00 90.00 90.00
Sites, in units of the cell vectors:
Sb 0.500 0.000 0.000
Sb 0.000 0.500 0.000
Cr 0.500 0.500 0.500
H 0.000 0.000 0.000
Sb 0.000 0.000 0.500

Record 12
## CrSbH3 (PBE)

Data for CrSbH3 after structural relaxation.

Computed properties:
The calculation puts the density of states at the Fermi level at 0.251 states/eV/atom. Its total magnetic moment is 2.1 μB/f.u. Its symmetry is Pm-3m, No. 221. As for the calculated volume: 47.3 Å³ per cell. For the relative energy among the computed polymorphs, the calculation gives 0.00 eV/f.u.

abc: 3.615 3.615 3.615
angles: 90.00 90.00 90.00
Sites, in units of the cell vectors:
H 0.000 0.000 0.500
H 0.500 0.000 0.000
Cr 0.000 0.000 0.000
H 0.000 0.500 0.000
Sb 0.500 0.500 0.500